LaCoO3 | GGA+U | optimized geometry

```
data_LaCoO3
_space_group_name_H-M_alt 'P 1'
_space_group_IT_number 1
_cell_length_a 3.817
_cell_length_b 3.817
_cell_length_c 3.817
_cell_angle_alpha 90.00
_cell_angle_beta 90.00
_cell_angle_gamma 90.00
loop_
_space_group_symop_operation_xyz
'x,y,z'
loop_
_atom_site_label
_atom_site_type_symbol
_atom_site_fract_x
_atom_site_fract_y
_atom_site_fract_z
La1 La 0.500 0.500 0.500
Co1 Co 0.000 0.000 0.000
O1 O 0.500 0.000 0.000
O2 O 0.000 0.500 0.000
O3 O 0.000 0.000 0.500
```

Values from the calculation:
**Energy**: -0.5238 Ry/atom